YHfSe2N | PBE-GGA | optimized geometry

Structure (POSCAR):
```
YHfSe2N
1.0
5.246 0.000 0.000
0.000 5.246 0.000
0.000 0.000 4.003
Y Se N Hf
1 2 1 1
direct
0.500 0.500 0.500
0.500 0.000 0.000
0.000 0.500 0.000
0.000 0.000 0.500
0.000 0.000 0.000
```

formation energy (no corrections) = -0.9464 eV/atom
energy above the most stable polymorph in this dataset = 0.000 eV/atom
final energy = -7.289 eV/atom

=====

LaAlGa2Pt4 | PBE-GGA | optimized geometry

Structure (POSCAR):
```
LaAlGa2Pt4
1.0
-3.153 2.858 0.852
-4.069 -1.378 0.619
-0.805 -0.330 9.182
Ga Pt Al La
2 4 1 1
direct
0.756 0.756 0.731
0.244 0.244 0.269
0.863 0.863 0.412
0.137 0.137 0.588
0.594 0.594 0.217
0.406 0.406 0.783
0.500 0.500 0.500
0.000 0.000 0.000
```

final energy = -5.799 eV/atom
formation energy = -939 meV/atom

=====

LaSc3Bi3 | PBE-GGA | optimized geometry

Structure (POSCAR):
```
LaSc3Bi3
1.0
8.375 0.000 0.000
4.187 7.253 0.000
4.187 2.418 7.863
Bi Sc La
6 6 2
direct
0.082 0.726 0.756
0.726 0.436 0.756
0.274 0.564 0.244
0.918 0.274 0.244
0.436 0.082 0.756
0.564 0.918 0.244
0.181 0.877 0.370
0.819 0.123 0.630
0.573 0.181 0.370
0.877 0.573 0.370
0.427 0.819 0.630
0.123 0.427 0.630
0.333 0.333 0.001
0.667 0.667 0.999
```

final energy = -5.556 eV/atom
formation energy = -476 meV/atom

=====

In2FeSn | PBE-GGA | optimized geometry

Structure (POSCAR):
```
In2FeSn
1.0
4.231 0.000 0.000
0.000 4.231 0.000
2.115 2.115 10.390
Sn In Fe
2 4 2
direct
0.750 0.250 0.500
0.000 0.000 0.000
0.608 0.125 0.250
0.375 0.392 0.750
0.142 0.625 0.250
0.875 0.858 0.750
0.250 0.750 0.500
0.500 0.500 0.000
```

final energy = -4.070 eV/atom
formation energy = 416 meV/atom

=====

K3SnTe2 | PBE-GGA | optimized geometry

Structure (POSCAR):
```
K3SnTe2
1.0
8.436 0.000 0.000
0.000 7.830 0.000
-4.218 -3.915 8.224
K Te Sn
6 4 2
direct
0.234 0.484 0.468
0.500 0.750 0.000
0.766 0.516 0.532
0.500 0.250 0.000
0.766 0.016 0.532
0.234 0.984 0.468
0.859 0.131 0.261
0.403 0.631 0.261
0.141 0.869 0.739
0.597 0.369 0.739
0.000 0.500 0.000
0.000 0.000 0.000
```

formation energy (no corrections) = -0.6168 eV/atom
final energy = -2.880 eV/atom

=====

LaOsBr2 | PBE-GGA | optimized geometry

Structure (POSCAR):
```
LaOsBr2
1.0
-5.003 -0.857 0.989
-3.538 0.790 -3.689
-2.413 -4.025 -2.173
Br Os La
2 1 1
direct
0.250 0.250 0.250
0.750 0.750 0.750
0.500 0.500 0.500
0.000 0.000 0.000
```

formation energy (no corrections) = 0.1412 eV/atom
energy above the most stable polymorph in this dataset = 0.623 eV/atom
final energy = -4.735 eV/atom

=====

PrNd2UP4 | PBE-GGA | optimized geometry

Structure (POSCAR):
```
PrNd2UP4
1.0
5.817 0.003 0.000
-0.003 5.817 0.000
-2.907 -2.910 5.824
P U Pr Nd
4 1 1 2
direct
0.751 0.751 0.502
0.512 0.012 0.025
0.249 0.249 0.498
0.988 0.488 0.975
0.750 0.250 0.500
0.500 0.500 0.000
0.250 0.750 0.500
0.000 0.000 0.000
```

final energy = -7.277 eV/atom
formation energy = -1372 meV/atom

=====

CeVH4 | PBE-GGA | optimized geometry

Structure (POSCAR):
```
CeVH4
1.0
5.589 -0.022 0.000
-0.783 4.386 0.000
-2.403 -2.182 4.822
H Ce V
8 2 2
direct
0.363 0.125 0.915
0.948 0.211 0.085
0.263 0.551 0.555
0.207 0.995 0.445
0.637 0.875 0.085
0.737 0.449 0.445
0.793 0.005 0.555
0.052 0.789 0.915
0.653 0.403 0.805
0.347 0.597 0.195
0.938 0.188 0.376
0.062 0.812 0.624
```

final energy = -4.999 eV/atom